1.
This record from the Alexandria database describes TlAgAsBr6 after structural relaxation. The functional is PBE-GGA.

Cell: 6.8769 7.0999 7.0999 Å, 120.00 90.00 90.00°
Fractional coordinates of all 9 atoms:
Tl (0.0000, 0.3333, 0.6667)
Br (0.7235, 0.3192, 0.0228)
Br (0.2765, 0.7036, 0.0228)
Br (0.2765, 0.3192, 0.2964)
Br (0.2765, 0.9772, 0.6808)
Br (0.7235, 0.7036, 0.6808)
Br (0.7235, 0.9772, 0.2964)
Ag (0.5000, 0.6667, 0.3333)
As (0.5000, 0.0000, 0.0000)

Summary:
The raw total energy is -2.634 eV per atom. The value obtained for the energy relative to the elements, uncorrected is -367 kJ/mol of formula units. Its space-group type is P312, No. 149. The calculation puts the magnetic moment at 0.00 μB/f.u.

2.
This record from the Alexandria database describes TlAgAs2Br after structural relaxation. The functional is PBE-GGA.

Cell: 4.9916 4.9916 6.1990 Å, 90.00 90.00 90.00°
Each line ends with the local moment (μB).
Fractional coordinates of all 5 atoms:
Br (0.0000, 0.0000, 0.5000)  0.12
Tl (0.5000, 0.5000, 0.5000)  0.01
As (0.0000, 0.5000, 0.0000)  0.38
As (0.5000, 0.0000, 0.0000)  0.38
Ag (0.0000, 0.0000, 0.0000)  0.10

Summary:
The raw total energy is -2.834 eV per atom. The value obtained for the energy above the most stable polymorph in this dataset is 0.000 eV per atom. The value obtained for the energy relative to the elements, uncorrected is 195 kJ/mol of formula units. Its space-group type is P4/mmm, No. 123. The calculation puts the magnetic moment at 1.94 μB/f.u.

3.
This record from the Alexandria database describes TlAgAsBr2 after structural relaxation. The functional is PBE-GGA.

Cell: 5.8063 5.8063 5.4464 Å, 90.00 90.00 90.00°
Each line ends with the local moment (μB).
Fractional coordinates of all 5 atoms:
Ag (0.5000, 0.5000, 0.5000)  -0.01
As (0.0000, 0.0000, 0.5000)  0.67
Tl (0.0000, 0.0000, 0.0000)  -0.01
Br (0.0000, 0.5000, 0.0000)  0.07
Br (0.5000, 0.0000, 0.0000)  0.07

Summary:
The raw total energy is -2.232 eV per atom. The value obtained for the energy above the most stable polymorph in this dataset is 0.392 eV per atom. The value obtained for the energy relative to the elements, uncorrected is 198 kJ/mol of formula units. Its space-group type is P4/mmm, No. 123. The calculation puts the magnetic moment at 1.64 μB/f.u.

4.
This record from the Alexandria database describes VAgAsBr2 after structural relaxation. The functional is PBE-GGA.

Cell: 5.1647 5.1647 4.8268 Å, 90.00 90.00 90.00°
Each line ends with the local moment (μB).
Fractional coordinates of all 5 atoms:
Ag (0.5000, 0.5000, 0.5000)  -0.01
As (0.0000, 0.0000, 0.5000)  -0.29
Br (0.5000, 0.0000, 0.0000)  -0.03
Br (0.0000, 0.5000, 0.0000)  -0.03
V (0.0000, 0.0000, 0.0000)  1.68

Summary:
The raw total energy is -3.878 eV per atom. The value obtained for the energy above the most stable polymorph in this dataset is 0.000 eV per atom. The value obtained for the energy relative to the elements, uncorrected is 56 kJ/mol of formula units. Its space-group type is P4/mmm, No. 123. The calculation puts the magnetic moment at 1.19 μB/f.u.

What is the energy relative to the elements, uncorrected in the second record? 195 kJ/mol of formula units

Which of these has the highest energy relative to the elements, uncorrected? TlAgAsBr2

What is the formula in the second record? TlAgAs2Br

What is the energy relative to the elements, uncorrected in the third record? 198 kJ/mol of formula units